GGA-PBE ZnCoOs3, relaxed; uncorrected energy = -5.981 eV/atom; space-group type = Pm-3m; theoretical density = 13.4 g/cm3; formation energy from the elements = 2.4326 eV/atom
1.0
4.4128 0.0000 0.0000
0.0000 4.4128 0.0000
0.0000 0.0000 4.4128
Os Co Zn
3 1 1
Cartesian
2.2064 0.0000 0.0000
0.0000 0.0000 2.2064
0.0000 2.2064 0.0000
2.2064 2.2064 2.2064
0.0000 0.0000 0.0000



GGA-PBE Rb3PaAg2S6, relaxed; uncorrected formation energy = -0.874 eV per atom; uncorrected energy = -4.446 eV/atom; space-group type = C2/m; theoretical density = 4.6 g/cm3
1.0
7.1576 -0.3032 0.0102
-3.8397 6.0482 0.0102
-1.0989 -1.9028 7.6605
Rb S Pa Ag
3 6 1 2
Cartesian
1.1095 1.9211 3.8404
-2.4141 3.9562 3.8404
4.6332 -0.1139 3.8404
-0.0794 3.7532 6.2762
-1.0715 2.0353 1.4046
2.2984 0.0890 1.4046
3.2906 1.8069 6.2762
2.2994 3.9813 1.6683
-0.0803 -0.1391 6.0126
0.0000 0.0000 0.0000
3.2465 1.9557 0.0102
0.0715 3.7893 0.0102



GGA-PBE MgSi2Tc, relaxed; uncorrected formation energy = 0.013 eV per atom; uncorrected energy = -5.689 eV/atom; space-group type = P2/m; theoretical density = 4.8 g/cm3
1.0
4.3441 0.0000 0.0000
0.0000 2.8492 -0.0255
0.0000 0.0570 4.9848
Tc Si Mg
1 2 1
Cartesian
2.1720 0.7265 1.2398
0.0000 0.7429 2.4829
0.0000 0.7102 -0.0033
2.1720 2.1796 3.7194



GGA-PBE ScPa2Ge3, relaxed; uncorrected energy = -7.003 eV/atom; space-group type = Cmce; theoretical density = 9.5 g/cm3; formation energy from the elements = -0.4738 eV/atom
1.0
-0.2264 4.7149 3.8804
-5.6424 -4.0253 -2.3210
1.8545 -8.8912 10.9114
Pa Ge Sc
8 12 4
Cartesian
-0.0776 -1.8966 9.2319
-3.0213 -1.2439 3.7410
-0.1244 0.4060 5.3467
-0.9930 -6.9577 8.7298
-1.7359 -1.3180 0.7493
-3.8899 -8.6076 7.1241
-2.2784 -6.8836 11.7215
-3.9367 -6.3050 3.2390
-1.3088 -1.9545 6.5618
-4.7954 -0.7767 1.4860
-2.8684 -3.7831 2.0230
-3.9671 -6.4313 9.2876
-4.1260 -3.9636 5.4016
-1.9698 1.2376 2.6490
-0.0472 -1.7703 3.1832
-2.7055 -6.2471 5.9090
-1.1459 -4.4185 10.4479
-2.0444 -9.4392 9.8218
0.1117 -4.2380 7.0693
0.7812 -7.4249 10.9848
0.7946 -5.0294 12.5436
-1.4008 -3.9736 4.5412
-2.6135 -4.2280 7.9296
-4.8089 -3.1722 -0.0727